This record from the Alexandria database describes a geometry-optimized Ce3HoSc2P6 structure. The functional is PBE.

Output
energy = -7.12 eV/atom
ΔH_f (0 K) = -1.497 eV/atom
size of the total moment = 1.347 Bohr magnetons per cell
symmetry = C2/m

Cell lengths 6.881, 6.881, 6.832 Å; angles 99.68, 99.68, 120.01 degrees
Each line ends with the local moment (μB).
Element x y z (fractional)
Ce 0.835 0.165 0.500  0.40
Ce 0.165 0.835 0.500  0.40
P 0.420 0.079 0.237  -0.01
P 0.079 0.420 0.237  -0.01
Ho 0.000 0.000 0.000  0.01
P 0.737 0.737 0.235  -0.01
P 0.263 0.263 0.765  -0.01
P 0.921 0.580 0.763  -0.01
Sc 0.333 0.667 0.000  0.01
Sc 0.667 0.333 0.000  0.01
P 0.580 0.921 0.763  -0.01
Ce 0.500 0.500 0.500  0.40